Here is a relaxed Cs2AuBr crystal from Alexandria. Energies are from PBE.

Unit cell a=5.2192 b=5.2192 c=25.7998 alpha=90.00 beta=90.00 gamma=120.00
Atoms (fractional coordinates):
1 Cs 0.0000 0.0000 0.2489
2 Cs 0.0000 0.0000 0.7511
3 Cs 0.3333 0.6667 0.4177
4 Cs 0.3333 0.6667 0.9156
5 Cs 0.6667 0.3333 0.0844
6 Cs 0.6667 0.3333 0.5823
7 Au 0.0000 0.0000 0.0000
8 Au 0.3333 0.6667 0.6667
9 Au 0.6667 0.3333 0.3333
10 Br 0.0000 0.0000 0.5000
11 Br 0.3333 0.6667 0.1667
12 Br 0.6667 0.3333 0.8333

Summary:
As for the uncorrected formation energy: -1.05 eV per atom. As for the electronic total energy: -2.72 eV/atom. For the distance to the lowest polymorph of the same formula, the calculation gives 0.0000 eV/atom. Its spin magnetization is 0.00 Bohr magnetons per cell. As for the density of states at the Fermi level: 0.0 states/eV/f.u. The symmetry is R-3m, No. 166. The crystal system is trigonal.